1.
The following is a DFT calculation (PBE-GGA) of a relaxed Dy7Cd2Co2 crystal.

## Properties
* crystal system: orthorhombic
* energy above the most stable polymorph in this dataset: 64 meV per atom
* uncorrected energy: -4.506 eV/atom
* formation energy from the elements: -0.12 eV per atom

Unit cell a=6.692 b=7.062 c=6.692 alpha=90.00 beta=109.28 gamma=90.00
Atoms (fractional coordinates):
Cd 0.821 0.500 0.821
Dy 0.000 0.243 0.500
Cd 0.179 0.500 0.179
Dy 0.000 0.000 0.000
Co 0.707 0.000 0.293
Dy 0.000 0.757 0.500
Dy 0.500 0.233 0.500
Dy 0.500 0.757 0.000
Dy 0.500 0.243 0.000
Dy 0.500 0.767 0.500
Co 0.293 0.000 0.707



2.
The following is a DFT calculation (PBE-GGA) of a relaxed Rb6NbAs4 crystal.

## Properties
* crystal system: hexagonal
* uncorrected energy: -3.572 eV/atom
* formation energy from the elements: -0.44 eV per atom

Unit cell a=8.642 b=10.815 c=10.815 alpha=120.00 beta=90.00 gamma=90.00
Atoms (fractional coordinates):
Rb 0.455 0.711 0.855
Rb 0.638 0.533 0.065
Rb 0.955 0.855 0.711
As 0.836 0.205 0.411
Rb 0.455 0.145 0.289
As 0.336 0.795 0.589
Rb 0.138 0.467 0.533
As 0.836 0.589 0.795
Rb 0.138 0.467 0.935
Nb 0.246 0.667 0.333
Rb 0.955 0.855 0.145
As 0.457 0.333 0.667
Nb 0.746 0.333 0.667
Rb 0.455 0.145 0.855
As 0.336 0.795 0.205
Rb 0.638 0.935 0.467
As 0.957 0.667 0.333
Rb 0.955 0.289 0.145
Rb 0.138 0.065 0.533
As 0.336 0.411 0.205
As 0.836 0.205 0.795
Rb 0.638 0.533 0.467



3.
The following is a DFT calculation (PBE-GGA) of a relaxed LaAl2Cr crystal.

## Properties
* crystal system: tetragonal
* uncorrected energy: -5.603 eV/atom
* formation energy from the elements: -0.09 eV per atom

Unit cell a=3.195 b=3.194 c=7.701 alpha=90.00 beta=90.00 gamma=90.00
Atoms (fractional coordinates):
Al 0.000 0.000 0.436
Cr 0.500 0.500 0.250
Al 0.000 0.000 0.064
La 0.500 0.500 0.750



4.
The following is a DFT calculation (PBE-GGA) of a relaxed PrYMoN3 crystal.

## Properties
* crystal system: monoclinic
* formation energy (no corrections): -1.15 eV per atom
* uncorrected energy: -8.989 eV/atom

Unit cell a=3.387 b=5.892 c=8.554 alpha=103.34 beta=90.00 gamma=90.00
Atoms (fractional coordinates):
Pr 0.750 0.639 0.688
N 0.750 0.573 0.175
N 0.750 0.242 0.517
N 0.750 0.045 0.177
Mo 0.750 0.891 0.379
N 0.250 0.955 0.823
Y 0.750 0.233 0.946
Y 0.250 0.767 0.054
N 0.250 0.427 0.825
Mo 0.250 0.109 0.621
N 0.250 0.758 0.483
Pr 0.250 0.361 0.312